VASP calculation (GGA-PBE) on a geometry-optimized Sr6Ag3Pt structure.

The structure in POSCAR format:
```
Sr6Ag3Pt
1.0
-1.406 -3.077 6.895
8.036 -2.819 0.381
3.102 9.552 5.242
Sr Pt Ag
12 2 6
Cartesian
6.415 -2.719 2.885 Sr
2.495 -0.701 1.547 Sr
7.373 0.774 4.950 Sr
2.495 6.629 5.049 Sr
7.236 -2.973 7.470 Sr
7.236 4.357 10.972 Sr
3.531 -0.840 6.031 Sr
3.754 2.686 3.626 Sr
5.977 0.970 8.892 Sr
3.317 6.375 9.634 Sr
2.359 2.882 7.569 Sr
6.200 4.495 6.488 Sr
4.866 1.828 6.259 Pt
0.000 0.000 0.000 Pt
4.089 3.137 10.593 Ag
8.677 2.989 8.098 Ag
5.642 0.519 1.926 Ag
1.551 4.776 2.621 Ag
3.315 -2.948 3.638 Ag
1.055 0.667 4.420 Ag
```

Calculated values
- energy (eV/cell) = -56.56
- DOS at the Fermi energy (states/eV per atom) = 0.566
- magnetization (μB/f.u.) = 0.00
- formation enthalpy at 0 K (kcal/mol of atoms) = -8.292
- crystal system = monoclinic
- space group = No. 14

=====

VASP calculation (GGA-PBE) on a geometry-optimized Pm3In3Sn2 structure.

The structure in POSCAR format:
```
Pm3In3Sn2
1.0
-2.686 1.397 3.521
-2.745 -4.730 -3.279
7.122 -10.897 9.756
Pm Sn In
6 4 6
Cartesian
-2.203 -7.082 4.193 Pm
3.893 -7.148 5.805 Pm
2.647 -10.830 6.316 Pm
5.843 -10.132 8.477 Pm
-4.153 -4.098 1.521 Pm
-0.957 -3.400 3.682 Pm
0.860 -8.183 6.965 Sn
2.756 -11.085 9.563 Sn
-1.066 -3.145 0.435 Sn
0.830 -6.047 3.033 Sn
0.701 -8.934 4.079 In
3.231 -8.231 8.792 In
0.990 -5.296 5.918 In
-2.042 -0.656 1.765 In
3.733 -13.574 8.233 In
-1.540 -5.999 1.205 In
```

Calculated values
- energy (eV/cell) = -69.29
- DOS at the Fermi energy (states/eV per atom) = 0.689
- magnetization (μB/f.u.) = 0.00
- formation enthalpy at 0 K (kcal/mol of atoms) = -12.023
- crystal system = orthorhombic
- space group = No. 63

=====

VASP calculation (GGA-PBE) on a geometry-optimized Nb2Ni2P structure.

The structure in POSCAR format:
```
Nb2Ni2P
1.0
5.810 0.000 0.000
0.000 5.810 0.000
0.000 0.000 4.174
Ni Nb P
4 4 2
Cartesian
0.849 2.056 0.000 Ni
3.754 0.849 0.000 Ni
2.056 4.961 0.000 Ni
4.961 3.754 0.000 Ni
0.976 3.880 2.087 Nb
4.834 1.929 2.087 Nb
3.880 4.834 2.087 Nb
1.929 0.976 2.087 Nb
0.000 0.000 0.000 P
2.905 2.905 0.000 P
```

Calculated values
- energy (eV/cell) = -77.06
- DOS at the Fermi energy (states/eV per atom) = 0.886
- magnetization (μB/f.u.) = 0.00
- formation enthalpy at 0 K (kcal/mol of atoms) = -6.539
- crystal system = tetragonal
- space group = No. 127

=====

VASP calculation (GGA-PBE) on a geometry-optimized Er4Al2Zn structure.

The structure in POSCAR format:
```
Er4Al2Zn
1.0
-5.000 0.218 0.397
-2.472 -3.543 2.558
-1.757 3.304 7.805
Er Al Zn
4 2 1
Cartesian
-4.883 -1.624 2.887 Er
-2.036 1.624 5.208 Er
-4.346 1.602 7.874 Er
-7.193 -1.645 5.552 Er
-6.919 0.003 8.100 Al
-2.310 -0.024 2.661 Al
0.000 0.000 0.000 Zn
```

Calculated values
- energy (eV/cell) = -28.68
- DOS at the Fermi energy (states/eV per atom) = 0.818
- magnetization (μB/f.u.) = 0.00
- formation enthalpy at 0 K (kcal/mol of atoms) = -5.514
- crystal system = trigonal
- space group = No. 166

=====

VASP calculation (GGA-PBE) on a geometry-optimized KMgBeF5 structure.

The structure in POSCAR format:
```
KMgBeF5
1.0
5.718 0.048 -0.040
-1.623 5.483 -0.040
-1.749 -2.362 6.718
F Be Mg K
10 2 2 2
Cartesian
3.179 -0.167 2.519 F
1.726 1.012 0.704 F
3.957 -1.391 4.999 F
-0.833 3.335 4.119 F
-1.611 4.559 1.640 F
0.620 2.157 5.934 F
-1.962 1.810 5.878 F
-0.410 0.765 4.063 F
2.756 2.404 2.575 F
4.308 1.358 0.760 F
-0.657 2.025 4.999 Be
3.003 1.144 1.640 Be
-0.874 -1.181 3.359 Mg
0.000 0.000 0.000 Mg
0.407 3.066 1.640 K
1.939 0.103 4.999 K
```

Calculated values
- energy (eV/cell) = -84.16
- DOS at the Fermi energy (states/eV per atom) = 0.000
- magnetization (μB/f.u.) = 0.04
- ΔE_f (raw) (kJ per mole of atoms) = -317.2
- crystal system = monoclinic
- space group = No. 15

=====

VASP calculation (GGA-PBE) on a geometry-optimized GaPO2 structure.

The structure in POSCAR format:
```
GaPO2
1.0
-0.186 -4.904 4.678
2.556 -5.173 3.560
2.000 -3.146 5.664
O Ga P
2 1 1
Cartesian
3.881 -11.745 12.347 O
0.489 -1.478 1.554 O
0.000 0.000 0.000 Ga
2.185 -6.611 6.951 P
```

Calculated values
- energy (eV/cell) = -20.56
- DOS at the Fermi energy (states/eV per atom) = 0.361
- magnetization (μB/f.u.) = 0.00
- ΔE_f (raw) (kJ per mole of atoms) = -53.3
- crystal system = trigonal
- space group = No. 166

=====

VASP calculation (GGA-PBE) on a geometry-optimized Pu3MgP4 structure.

The structure in POSCAR format:
```
Pu3MgP4
1.0
-1.551 3.798 3.796
0.571 -3.812 4.048
5.339 1.511 0.670
Pu P Mg
3 4 1
Cartesian
-0.490 -0.007 3.922 Pu
2.955 -1.151 2.359 Pu
1.894 2.655 2.233 Pu
-0.776 1.899 1.898 P
0.286 -1.906 2.024 P
2.670 0.756 0.335 P
2.180 0.748 4.257 P
0.000 0.000 0.000 Mg
```

Calculated values
- energy (eV/cell) = -73.74
- DOS at the Fermi energy (states/eV per atom) = 2.828
- magnetization (μB/f.u.) = 14.00
- formation enthalpy at 0 K (kcal/mol of atoms) = -21.646
- crystal system = cubic
- space group = No. 221

=====

VASP calculation (GGA-PBE) on a geometry-optimized Li3SeS structure.

The structure in POSCAR format:
```
Li3SeS
1.0
-3.322 -1.363 2.843
-2.473 -1.435 -3.577
1.955 -4.130 0.305
Li S Se
3 1 1
Cartesian
0.977 -2.065 0.152 Li
-1.237 -0.717 -1.789 Li
-1.661 -0.681 1.421 Li
0.000 0.000 0.000 S
-1.920 -3.464 -0.215 Se
```

Calculated values
- energy (eV/cell) = -17.78
- DOS at the Fermi energy (states/eV per atom) = 0.816
- magnetization (μB/f.u.) = 1.00
- ΔE_f (raw) (kJ per mole of atoms) = -85.5
- crystal system = cubic
- space group = No. 221

=====

VASP calculation (GGA-PBE) on a geometry-optimized CsHg3S structure.

The structure in POSCAR format:
```
CsHg3S
1.0
-6.595 2.448 -0.863
-1.917 -3.004 6.126
1.751 5.934 3.457
Hg S Cs
3 1 1
Cartesian
-0.958 -1.502 3.063 Hg
-3.297 1.224 -0.431 Hg
0.875 2.967 1.729 Hg
-3.380 2.689 4.361 S
0.000 0.000 0.000 Cs
```

Calculated values
- energy (eV/cell) = -3.89
- DOS at the Fermi energy (states/eV per atom) = 1.888
- magnetization (μB/f.u.) = 1.00
- ΔE_f (raw) (kJ per mole of atoms) = 38.6
- crystal system = cubic
- space group = No. 221

=====

VASP calculation (GGA-PBE) on a geometry-optimized LaZn3In structure.

The structure in POSCAR format:
```
LaZn3In
1.0
-1.151 -4.881 -2.793
5.623 -0.958 -0.643
0.081 -2.865 4.973
Zn In La
3 1 1
Cartesian
0.040 -1.433 2.487 Zn
-0.575 -2.440 -1.397 Zn
2.812 -0.479 -0.321 Zn
2.277 -4.352 0.768 In
0.000 0.000 0.000 La
```

Calculated values
- energy (eV/cell) = -7.43
- DOS at the Fermi energy (states/eV per atom) = 1.793
- magnetization (μB/f.u.) = 0.00
- formation enthalpy at 0 K (kcal/mol of atoms) = 18.705
- crystal system = cubic
- space group = No. 221

=====

VASP calculation (GGA-PBE) on a geometry-optimized KNa5Tl6 structure.

The structure in POSCAR format:
```
KNa5Tl6
1.0
4.746 0.034 0.016
2.428 7.785 0.008
-0.033 0.000 9.797
Tl Na K
6 5 1
Cartesian
2.364 0.017 2.653 Tl
2.388 5.119 7.294 Tl
4.738 2.699 7.302 Tl
4.754 2.699 2.528 Tl
2.404 5.119 2.520 Tl
2.349 0.017 7.160 Tl
4.781 5.117 0.016 Na
4.767 5.211 4.915 Na
2.375 2.607 4.907 Na
2.393 2.702 0.008 Na
-0.016 0.000 4.899 Na
0.000 0.000 0.000 K
```

Calculated values
- energy (eV/cell) = -22.81
- DOS at the Fermi energy (states/eV per atom) = 0.507
- magnetization (μB/f.u.) = 0.00
- formation enthalpy at 0 K (kcal/mol of atoms) = -1.764
- crystal system = monoclinic
- space group = No. 10

=====

VASP calculation (GGA-PBE) on a geometry-optimized Li4Tm3Ga4 structure.

The structure in POSCAR format:
```
Li4Tm3Ga4
1.0
4.320 0.000 -1.189
-0.748 6.042 -2.716
-0.063 0.007 8.213
Tm Ga Li
3 4 4
Cartesian
3.094 5.319 2.799 Tm
-0.374 3.021 -1.358 Tm
0.416 0.730 1.509 Tm
1.558 4.865 -2.781 Ga
0.365 4.318 1.324 Ga
3.145 1.731 2.984 Ga
2.014 1.177 -1.124 Ga
0.984 3.133 3.575 Li
2.526 2.916 0.733 Li
1.270 0.826 4.612 Li
2.240 5.222 -0.303 Li
```

Calculated values
- energy (eV/cell) = -37.03
- DOS at the Fermi energy (states/eV per atom) = 0.874
- magnetization (μB/f.u.) = 0.00
- formation enthalpy at 0 K (kcal/mol of atoms) = -8.080
- crystal system = orthorhombic
- space group = No. 71

=====

VASP calculation (GGA-PBE) on a geometry-optimized Sb3AuCl structure.

The structure in POSCAR format:
```
Sb3AuCl
1.0
-3.769 -6.323 3.143
5.355 -1.552 3.299
-4.407 3.942 2.647
Sb Au Cl
6 2 2
Cartesian
0.610 -0.296 5.232 Sb
-2.979 -2.498 6.690 Sb
2.709 -2.173 3.971 Sb
-3.430 -3.636 3.858 Sb
-5.529 -1.759 5.118 Sb
0.158 -1.434 2.400 Sb
-3.769 -6.323 3.143 Au
3.471 -4.713 4.871 Au
-2.096 0.530 3.651 Cl
-0.725 -4.462 5.439 Cl
```

Calculated values
- energy (eV/cell) = -34.92
- DOS at the Fermi energy (states/eV per atom) = 0.321
- magnetization (μB/f.u.) = 0.00
- ΔE_f (raw) (kJ per mole of atoms) = 0.6
- crystal system = hexagonal
- space group = No. 194

=====

VASP calculation (GGA-PBE) on a geometry-optimized PrSm2Ni structure.

The structure in POSCAR format:
```
PrSm2Ni
1.0
3.885 0.000 0.000
1.942 3.364 0.000
1.942 1.121 9.198
Sm Ni Pr
2 1 1
Cartesian
1.942 1.121 1.617 Sm
1.942 1.121 7.594 Sm
3.885 2.243 0.024 Ni
3.885 2.243 4.562 Pr
```

Calculated values
- energy (eV/cell) = -20.32
- DOS at the Fermi energy (states/eV per atom) = 1.138
- magnetization (μB/f.u.) = 0.00
- formation enthalpy at 0 K (kcal/mol of atoms) = -1.834
- crystal system = trigonal
- space group = No. 160

=====

VASP calculation (GGA-PBE) on a geometry-optimized Mn2CoGeSb structure.

The structure in POSCAR format:
```
Mn2CoGeSb
1.0
4.626 0.000 0.000
0.000 5.350 0.000
0.000 0.000 4.626
Ge Co Sb Mn
1 1 1 2
Cartesian
0.000 0.000 0.000 Ge
2.313 2.675 2.313 Co
0.000 2.675 0.000 Sb
0.000 0.000 2.313 Mn
2.313 0.000 0.000 Mn
```

Calculated values
- energy (eV/cell) = -28.52
- DOS at the Fermi energy (states/eV per atom) = 0.995
- magnetization (μB/f.u.) = 9.47
- ΔE_f (raw) (kJ per mole of atoms) = 109.4
- crystal system = tetragonal
- space group = No. 123

=====

VASP calculation (GGA-PBE) on a geometry-optimized Ge2Bi2Te5 structure.

The structure in POSCAR format:
```
Ge2Bi2Te5
1.0
4.320 0.000 0.000
-2.160 3.741 0.000
0.000 0.000 18.080
Te Bi Ge
5 2 2
Cartesian
0.000 2.494 7.512 Te
0.000 2.494 14.166 Te
2.160 1.247 10.568 Te
0.000 0.000 0.000 Te
2.160 1.247 3.914 Te
2.160 1.247 15.969 Bi
0.000 2.494 2.111 Bi
0.000 0.000 11.962 Ge
0.000 0.000 6.118 Ge
```

Calculated values
- energy (eV/cell) = -33.96
- DOS at the Fermi energy (states/eV per atom) = 0.003
- magnetization (μB/f.u.) = 0.00
- ΔE_f (raw) (kJ per mole of atoms) = -13.5
- crystal system = trigonal
- space group = No. 164

=====

VASP calculation (GGA-PBE) on a geometry-optimized MgBe structure.

The structure in POSCAR format:
```
MgBe
1.0
-2.829 3.468 0.571
-0.406 -3.689 2.567
3.079 1.967 3.313
Be Mg
2 2
Cartesian
-0.444 -0.811 2.730 Be
0.288 2.558 3.721 Be
-1.252 1.574 2.064 Mg
1.096 0.172 4.386 Mg
```

Calculated values
- energy (eV/cell) = -6.65
- DOS at the Fermi energy (states/eV per atom) = 0.605
- magnetization (μB/f.u.) = 0.00
- formation enthalpy at 0 K (kcal/mol of atoms) = 22.984
- crystal system = hexagonal
- space group = No. 194

=====

VASP calculation (GGA-PBE) on a geometry-optimized ZnGa2Re structure.

The structure in POSCAR format:
```
ZnGa2Re
1.0
-1.209 -1.687 2.029
0.523 -2.854 0.014
6.995 -0.164 6.106
Ga Re Zn
2 1 1
Cartesian
5.021 -0.533 4.624 Ga
1.288 -4.173 3.525 Ga
3.154 -2.353 4.074 Re
0.000 0.000 0.000 Zn
```

Calculated values
- energy (eV/cell) = -19.09
- DOS at the Fermi energy (states/eV per atom) = 0.793
- magnetization (μB/f.u.) = 0.00
- formation enthalpy at 0 K (kcal/mol of atoms) = 3.979
- crystal system = trigonal
- space group = No. 166

=====

VASP calculation (GGA-PBE) on a geometry-optimized TlRe2Pb structure.

The structure in POSCAR format:
```
TlRe2Pb
1.0
-2.915 -2.828 -2.569
-2.050 -3.833 2.050
-4.724 -0.015 0.881
Re Tl Pb
2 1 1
Cartesian
0.000 0.000 0.000 Re
-7.266 -5.007 0.271 Re
-2.422 -1.669 0.090 Tl
-4.844 -3.338 0.181 Pb
```

Calculated values
- energy (eV/cell) = -25.85
- DOS at the Fermi energy (states/eV per atom) = 0.774
- magnetization (μB/f.u.) = 0.00
- formation enthalpy at 0 K (kcal/mol of atoms) = 29.510
- crystal system = cubic
- space group = No. 216

=====

VASP calculation (GGA-PBE) on a geometry-optimized Ho5Sc6 structure.

The structure in POSCAR format:
```
Ho5Sc6
1.0
-3.321 7.753 0.323
-2.757 3.666 -6.053
-5.940 -0.566 1.067
Ho Sc
5 6
Cartesian
-4.631 3.594 0.695 Ho
-4.121 7.599 -4.212 Ho
-1.957 3.820 -1.518 Ho
-5.209 3.483 -2.583 Ho
-6.809 7.371 -2.079 Ho
-5.758 0.813 -0.589 Sc
-6.934 6.162 1.015 Sc
-2.327 1.025 0.376 Sc
-7.976 4.583 -3.585 Sc
-4.042 6.270 -1.077 Sc
-6.260 10.040 -4.073 Sc
```

Calculated values
- energy (eV/cell) = -59.14
- DOS at the Fermi energy (states/eV per atom) = 1.230
- magnetization (μB/f.u.) = 0.00
- formation enthalpy at 0 K (kcal/mol of atoms) = 3.647
- crystal system = monoclinic
- space group = No. 12

=====

VASP calculation (GGA-PBE) on a geometry-optimized Nd4Sm5Mg structure.

The structure in POSCAR format:
```
Nd4Sm5Mg
1.0
-4.520 3.045 -2.364
-2.729 -3.564 -6.838
-7.183 -2.594 2.929
Sm Nd Mg
5 4 1
Cartesian
-2.335 -1.826 -4.625 Sm
-7.867 -4.780 -5.318 Sm
-6.126 1.370 -0.725 Sm
-2.989 2.014 -1.563 Sm
-11.657 -1.583 -1.418 Sm
-7.868 -1.488 -1.275 Nd
-6.245 -1.840 -4.831 Nd
-3.815 -1.511 -1.590 Nd
-10.298 -1.817 -4.517 Nd
-0.835 0.563 -0.437 Mg
```

Calculated values
- energy (eV/cell) = -42.56
- DOS at the Fermi energy (states/eV per atom) = 1.187
- magnetization (μB/f.u.) = 0.00
- formation enthalpy at 0 K (kcal/mol of atoms) = 3.923
- crystal system = tetragonal
- space group = No. 107

=====

VASP calculation (GGA-PBE) on a geometry-optimized ReAs2Br structure.

The structure in POSCAR format:
```
ReAs2Br
1.0
9.277 0.129 0.076
8.674 3.291 0.076
8.674 1.653 2.847
Br Re As
1 1 2
Cartesian
6.656 1.268 0.750 Br
19.968 3.805 2.250 Re
12.806 2.440 1.443 As
0.507 0.097 0.057 As
```

Calculated values
- energy (eV/cell) = -22.84
- DOS at the Fermi energy (states/eV per atom) = 0.480
- magnetization (μB/f.u.) = 0.00
- ΔE_f (raw) (kJ per mole of atoms) = 14.1
- crystal system = trigonal
- space group = No. 166

=====

VASP calculation (GGA-PBE) on a geometry-optimized CePr4Tm3S8 structure.

The structure in POSCAR format:
```
CePr4Tm3S8
1.0
7.940 0.000 0.000
0.000 8.053 0.074
-3.970 -3.966 5.617
Ce Tm Pr S
1 3 4 8
Cartesian
0.000 4.027 0.037 Ce
-1.985 2.043 2.846 Tm
3.970 4.027 0.037 Tm
1.985 2.043 2.846 Tm
-1.985 -1.983 2.809 Pr
1.985 -1.983 2.809 Pr
3.970 0.000 0.000 Pr
0.000 0.000 0.000 Pr
3.970 3.923 2.769 S
-1.943 1.981 5.577 S
2.028 2.106 0.114 S
0.000 0.164 2.922 S
1.943 1.981 5.577 S
0.000 3.922 2.829 S
5.913 2.106 0.114 S
3.970 0.165 2.862 S
```

Calculated values
- energy (eV/cell) = -103.42
- DOS at the Fermi energy (states/eV per atom) = 0.599
- magnetization (μB/f.u.) = 0.26
- ΔE_f (raw) (kJ per mole of atoms) = -192.6
- crystal system = trigonal
- space group = No. 166

=====

VASP calculation (GGA-PBE) on a geometry-optimized CaPmPdAu structure.

The structure in POSCAR format:
```
CaPmPdAu
1.0
5.110 0.000 0.000
2.555 4.426 0.000
2.555 1.475 4.173
Pd Au Pm Ca
1 1 1 1
Cartesian
5.110 2.951 2.086 Pd
0.000 0.000 0.000 Au
7.666 4.426 3.129 Pm
2.555 1.475 1.043 Ca
```

Calculated values
- energy (eV/cell) = -18.29
- DOS at the Fermi energy (states/eV per atom) = 0.637
- magnetization (μB/f.u.) = 0.00
- formation enthalpy at 0 K (kcal/mol of atoms) = -17.711
- crystal system = cubic
- space group = No. 216